Entry 1:
Below is CoNi2Hg after structural relaxation, with properties calculated at the PBEsol level.

Output
The value obtained for the total magnetization is 4.96 Bohr magnetons per cell. The calculation puts the formation energy at 26.7 kJ per mole of atoms. The mass density is 12.206 Mg/m³.

abc: 8.3500 2.7102 4.6143
angles: 90.00 100.86 90.00
Space group C2/m (No. 12)
Unique sites:
1 Co 0.0000 0.0000 0.0000 [2 per cell]
2 Ni 0.2421 0.5000 0.2144 [4 per cell]
3 Hg 0.0000 0.5000 0.5000 [2 per cell]

---

Entry 2:
Below is B2OsPtS after structural relaxation, with properties calculated at the PBEsol level.

Output
The value obtained for the total magnetization is 0.01 Bohr magnetons per cell. The mass density is 11.299 Mg/m³. As for the total DFT energy (no corrections): -5.81 eV/atom.

abc: 3.7979 3.7979 4.4729
angles: 90.00 90.00 90.00
Space group P4/mmm (No. 123)
Unique sites:
1 B 0.0000 0.5000 0.0000 [2 per cell]
2 Os 0.0000 0.0000 0.5000 [1 per cell]
3 Pt 0.5000 0.5000 0.5000 [1 per cell]
4 S 0.5000 0.5000 0.0000 [1 per cell]

---

Entry 3:
Below is K3ScI6 after structural relaxation, with properties calculated at the PBEsol level.

Output
The value obtained for the total magnetization is 0.00 Bohr magnetons per cell. The mass density is 3.403 Mg/m³. As for the total DFT energy (no corrections): -3.34 eV/atom.

abc: 12.1707 12.1707 12.1707
angles: 90.00 90.00 90.00
Space group Fm-3m (No. 225)
Unique sites:
1 K 0.0000 0.0000 0.0000 [4 per cell]
2 K 0.2500 0.2500 0.2500 [8 per cell]
3 Sc 0.0000 0.0000 0.5000 [4 per cell]
4 I 0.0000 0.0000 0.2667 [24 per cell]

---

Entry 4:
Below is KGePCO7 after structural relaxation, with properties calculated at the PBEsol level.

Output
The value obtained for the total magnetization is 0.13 Bohr magnetons per cell. The mass density is 2.722 Mg/m³. As for the total DFT energy (no corrections): -7.14 eV/atom.

abc: 5.0245 6.1819 10.4912
angles: 90.00 93.04 90.00
Space group P2_1 (No. 4)
Unique sites:
1 K 0.2387 0.0000 0.3154 [2 per cell]
2 Ge 0.2151 0.1172 0.8632 [2 per cell]
3 P 0.2715 0.6214 0.9450 [2 per cell]
4 C 0.3019 0.1420 0.6463 [2 per cell]
5 O 0.0596 0.1270 0.6926 [2 per cell]
6 O 0.1143 0.6232 0.0660 [2 per cell]
7 O 0.2037 0.4270 0.8576 [2 per cell]
8 O 0.2061 0.8145 0.8564 [2 per cell]
9 O 0.3503 0.1706 0.5339 [2 per cell]
10 O 0.4252 0.1192 0.0158 [2 per cell]
11 O 0.4870 0.1298 0.7432 [2 per cell]

---

Entry 5:
Below is ZnHg3 after structural relaxation, with properties calculated at the PBEsol level.

Output
The energy above the most stable polymorph in this dataset is 30 meV/atom. The value obtained for the total magnetization is 0.00 Bohr magnetons per cell. The calculation puts the formation energy at 7.4 kJ per mole of atoms. The mass density is 13.058 Mg/m³.

abc: 4.4065 5.1291 7.5077
angles: 90.00 90.00 90.00
Space group Cmmm (No. 65)
Unique sites:
1 Zn 0.0000 0.0000 0.0000 [2 per cell]
2 Hg 0.0000 0.0000 0.5000 [2 per cell]
3 Hg 0.0000 0.5000 0.2237 [4 per cell]

---

Entry 6:
Below is Zr5Al after structural relaxation, with properties calculated at the PBEsol level.

Output
The value obtained for the total magnetization is 0.00 Bohr magnetons per cell. The calculation puts the formation energy at -11.5 kJ per mole of atoms. The mass density is 6.313 Mg/m³.

abc: 11.3457 3.1160 7.4551
angles: 90.00 105.37 90.00
Space group Cm (No. 8)
Unique sites:
1 Zr 0.0000 0.0000 0.0000 [2 per cell]
2 Zr 0.0414 0.0000 0.6273 [2 per cell]
3 Zr 0.1674 0.5000 0.3569 [2 per cell]
4 Zr 0.2270 0.5000 0.9485 [2 per cell]
5 Zr 0.3898 0.0000 0.2920 [2 per cell]
6 Al 0.3224 0.0000 0.6704 [2 per cell]

---

Number 1: Fermi-level density of states 11.756 states/eV per cell. Number 2: Fermi-level density of states 4.482 states/eV per cell. Number 3: Fermi-level density of states 0.000 states/eV per cell. Number 4: Fermi-level density of states 0.000 states/eV per cell. Number 5: Fermi-level density of states 2.722 states/eV per cell. Number 6: Fermi-level density of states 11.675 states/eV per cell.